Computed, not measured: a relaxed Mn2AsO6 crystal at the PBE+U level of DFT.

Cell lengths 4.546, 4.546, 8.842 Å; angles 90.00, 90.00, 90.00 degrees
Fractional coordinates of all 18 atoms:
Mn  0.000  0.000  0.166
Mn  0.000  0.000  0.834
Mn  0.500  0.500  0.334
Mn  0.500  0.500  0.666
As  0.000  0.000  0.500
As  0.500  0.500  0.000
O  0.187  0.187  0.340
O  0.187  0.187  0.660
O  0.202  0.202  0.000
O  0.298  0.702  0.500
O  0.313  0.687  0.160
O  0.313  0.687  0.840
O  0.687  0.313  0.160
O  0.687  0.313  0.840
O  0.702  0.298  0.500
O  0.798  0.798  0.000
O  0.813  0.813  0.340
O  0.813  0.813  0.660

Values from the calculation:
SG: No. 136
Energy relative to the lowest polymorph listed for this composition, meV per atom: 11
Volume, Å³ per atom: 10.15